First-principles (PBEsol) data for an optimized crystal structure of FePbIN2, as listed in Alexandria.

Magnetic moment = 1.048 μB per atom
Uncorrected formation energy = 1956 meV per atom
Calculated volume = 114 Å³/f.u.

a = 4.201 Å, b = 4.201 Å, c = 6.445 Å
α = 90.00°, β = 90.00°, γ = 90.00°
Space group P4/mmm (No. 123)
Symmetry-distinct sites (fractional):
Fe 0.000 0.000 0.000
Pb 0.500 0.500 0.500
I 0.500 0.500 0.000
N 0.000 0.500 0.500

First-principles (PBEsol) data for an optimized crystal structure of FePdIN2, as listed in Alexandria.

Magnetic moment = 0.000 μB per atom
Uncorrected formation energy = 837 meV per atom
Calculated volume = 75 Å³/f.u.

a = 3.618 Å, b = 3.618 Å, c = 5.729 Å
α = 90.00°, β = 90.00°, γ = 90.00°
Space group P4/mmm (No. 123)
Symmetry-distinct sites (fractional):
Fe 0.000 0.000 0.000
Pd 0.500 0.500 0.500
I 0.000 0.000 0.500
N 0.000 0.500 0.000

First-principles (PBEsol) data for an optimized crystal structure of RbFeI2N, as listed in Alexandria.

Magnetic moment = 0.192 μB per atom
Uncorrected formation energy = -142 meV per atom
Calculated volume = 118 Å³/f.u.

a = 5.755 Å, b = 5.755 Å, c = 3.548 Å
α = 90.00°, β = 90.00°, γ = 90.00°
Space group P4/mmm (No. 123)
Symmetry-distinct sites (fractional):
Rb 0.000 0.000 0.000
Fe 0.500 0.500 0.500
I 0.000 0.500 0.500
N 0.500 0.500 0.000

First-principles (PBEsol) data for an optimized crystal structure of FeSIN2, as listed in Alexandria.

Magnetic moment = 0.605 μB per atom
Uncorrected formation energy = 1601 meV per atom
Calculated volume = 83 Å³/f.u.

a = 3.542 Å, b = 3.542 Å, c = 6.635 Å
α = 90.00°, β = 90.00°, γ = 90.00°
Space group P4/mmm (No. 123)
Symmetry-distinct sites (fractional):
Fe 0.000 0.000 0.000
S 0.500 0.500 0.500
I 0.500 0.500 0.000
N 0.000 0.500 0.500

First-principles (PBEsol) data for an optimized crystal structure of FeSeIN2, as listed in Alexandria.

Magnetic moment = 0.000 μB per atom
Uncorrected formation energy = 1063 meV per atom
Calculated volume = 78 Å³/f.u.

a = 3.717 Å, b = 3.717 Å, c = 5.630 Å
α = 90.00°, β = 90.00°, γ = 90.00°
Space group P4/mmm (No. 123)
Symmetry-distinct sites (fractional):
Fe 0.000 0.000 0.000
Se 0.500 0.500 0.500
I 0.000 0.000 0.500
N 0.000 0.500 0.000

First-principles (PBEsol) data for an optimized crystal structure of FeTeI2N, as listed in Alexandria.

Distance to the lowest polymorph of the same formula = 0 meV per atom
Magnetic moment = 0.724 μB per atom
Uncorrected formation energy = 1219 meV per atom
Calculated volume = 144 Å³/f.u.

a = 6.045 Å, b = 6.045 Å, c = 3.936 Å
α = 90.00°, β = 90.00°, γ = 90.00°
Space group P4/mmm (No. 123)
Symmetry-distinct sites (fractional):
Fe 0.000 0.000 0.000
Te 0.500 0.500 0.500
I 0.000 0.500 0.500
N 0.500 0.500 0.000

Question: Which of these has the lowest uncorrected formation energy?
Answer: RbFeI2N

Question: Which value of magnetic moment does entry 5 give?
Answer: 0.000 μB per atom

Question: Number 3 is which compound?
Answer: RbFeI2N